The following is a PBEsol calculation of a relaxed ZrScIn crystal, from Alexandria via LeMat-Bulk.

a = 4.766 Å, b = 4.766 Å, c = 4.766 Å
α = 60.00°, β = 60.00°, γ = 60.00°
Sites, in units of the cell vectors:
Zr: 0.000 0.000 0.000
Sc: 0.500 0.500 0.500
In: 0.750 0.750 0.750

* SG: F-43m (216)
* excess energy over the best structure of this formula in the dataset: 447 meV per atom

The following is a PBEsol calculation of a relaxed LaB3O6 crystal, from Alexandria via LeMat-Bulk.

a = 4.230 Å, b = 11.733 Å, c = 7.275 Å
α = 90.00°, β = 91.23°, γ = 90.00°
Sites, in units of the cell vectors:
La: 0.220 0.123 0.381
La: 0.220 0.377 0.881
La: 0.780 0.623 0.119
La: 0.780 0.877 0.619
B: 0.193 0.094 0.874
B: 0.193 0.406 0.374
B: 0.312 0.622 0.426
B: 0.312 0.878 0.926
B: 0.324 0.666 0.788
B: 0.324 0.834 0.288
B: 0.676 0.166 0.712
B: 0.676 0.334 0.212
B: 0.688 0.122 0.074
B: 0.688 0.378 0.574
B: 0.807 0.594 0.626
B: 0.807 0.906 0.126
O: 0.155 0.627 0.610
O: 0.155 0.873 0.110
O: 0.206 0.524 0.316
O: 0.206 0.976 0.816
O: 0.220 0.715 0.305
O: 0.220 0.785 0.805
O: 0.251 0.590 0.938
O: 0.251 0.910 0.438
O: 0.330 0.169 0.736
O: 0.330 0.331 0.236
O: 0.347 0.120 0.048
O: 0.347 0.380 0.548
O: 0.653 0.620 0.452
O: 0.653 0.880 0.952
O: 0.670 0.669 0.764
O: 0.670 0.831 0.264
O: 0.749 0.090 0.562
O: 0.749 0.410 0.062
O: 0.780 0.215 0.195
O: 0.780 0.285 0.695
O: 0.794 0.024 0.184
O: 0.794 0.476 0.684
O: 0.845 0.127 0.890
O: 0.845 0.373 0.390

* SG: P2_1/c (14)
* excess energy over the best structure of this formula in the dataset: 0 meV per atom